Version i
12
Lattice="-5.8408 -0.1785 -1.8405 0.3141 -5.9006 -7.2688 3.3615 -1.4771 9.9909" Properties=species:S:1:pos:R:3 comment="Tb3Pm2Sc GGA-PBE optimized geometry" n_ef_per_ev_cell=16.442 total_magnetization_mub_per_atom=0.00 pbc="T T T"
Tb 0.1450 -2.3009 -1.9356
Tb -2.3102 -5.2553 2.8172
Tb -2.6189 -2.9753 0.1350
Tb 0.4536 -4.5809 0.7466
Tb -2.6207 -4.1619 -3.1724
Tb 0.4555 -3.3943 4.0541
Pm -2.5698 -5.4049 -6.5443
Pm 0.4045 -2.1513 7.4259
Pm 0.4333 -5.8180 -2.5905
Pm -2.5986 -1.7382 3.4721
Sc 0.1534 -1.1346 1.3273
Sc -2.3187 -6.4216 -0.4456

---

Version ii
12
Lattice="3.4586 0.0000 0.0000 1.7293 8.8073 0.1729 1.7293 2.1606 12.6431" Properties=species:S:1:pos:R:3 comment="Tb3Pm2Sc GGA-PBE optimized geometry" n_ef_per_ev_cell=20.830 total_magnetization_mub_per_atom=0.00 pbc="T T T"
Tb 1.7293 2.9583 9.9376
Tb 5.1878 8.0096 2.8784
Tb 5.1878 9.4086 12.4348
Tb 1.7293 1.5592 0.3811
Tb 5.1878 8.6790 9.0756
Tb 1.7293 2.2889 3.7404
Pm 5.1878 6.1231 11.1877
Pm 1.7293 4.8448 1.6283
Pm 3.4586 2.5752 6.7255
Pm 3.4586 8.3926 6.0905
Sc 3.4586 5.6648 8.1968
Sc 3.4586 5.3031 4.6192

---

It is version i that is the most stable of them.

---

Version i
16
Lattice="6.7248 1.9624 0.1889 1.9104 6.2483 -2.5181 0.3206 -2.3231 13.8449" Properties=species:S:1:pos:R:3 comment="Tb2PmSc GGA-PBE optimized geometry" n_ef_per_ev_cell=22.137 total_magnetization_mub_per_atom=0.00 pbc="T T T"
Tb 7.2475 5.6776 9.7470
Tb 1.7083 0.2100 1.7687
Tb 6.1835 3.1544 7.5251
Tb 2.7723 2.7333 3.9906
Tb 6.0491 4.2974 0.6174
Tb 2.9066 1.5902 10.8983
Tb 5.1556 0.6068 5.3299
Tb 3.8002 5.2808 6.1858
Pm 1.7982 -0.3672 5.2655
Pm 7.1576 6.2549 6.2502
Pm 2.6814 3.3105 0.4927
Pm 6.2743 2.5772 11.0230
Sc 2.8404 2.1927 7.4809
Sc 6.1154 3.6949 4.0348
Sc 3.8664 4.6776 9.6032
Sc 5.0894 1.2101 1.9125

---

Version ii
4
Lattice="5.5896 0.0000 0.0000 2.7948 4.8408 0.0000 2.7948 1.6136 4.5639" Properties=species:S:1:pos:R:3 comment="Tb2PmSc GGA-PBE optimized geometry" n_ef_per_ev_cell=10.100 total_magnetization_mub_per_atom=0.01 pbc="T T T"
Sc 0.0000 0.0000 0.0000
Tb 2.7948 1.6136 1.1410
Tb 8.3845 4.8408 3.4229
Pm 5.5896 3.2272 2.2820

---

It is version i that is the most stable of them.